Record 1
Entry from Alexandria: an optimized crystal structure of TaSb2TeRh (PBE-GGA).

Space-group type: P4/mmm
E above lowest polymorph: 0 meV per atom
Total moment: 0.000 μB per cell
V: 148.1 Å³/cell
E_form (uncorrected): 4.565 eV/f.u.
Raw total energy: -5.2051 eV per atom

Lattice parameters (Å, degrees): 5.301 5.301 5.270 90.00 90.00 90.00
Sites, in units of the cell vectors:
Ta (0.000, 0.000, 0.000)
Te (0.000, 0.000, 0.500)
Rh (0.500, 0.500, 0.500)
Sb (0.500, 0.000, 0.000)
Sb (0.000, 0.500, 0.000)

=====

Record 2
Entry from Alexandria: an optimized crystal structure of TaSb2TeRh (PBE-GGA).

Space-group type: P4/mmm
E above lowest polymorph: 30 meV per atom
Total moment: 0.000 μB per cell
V: 130.8 Å³/cell
E_form (uncorrected): 4.714 eV/f.u.
Raw total energy: -5.1753 eV per atom

Lattice parameters (Å, degrees): 5.018 5.018 5.194 90.00 90.00 90.00
Sites, in units of the cell vectors:
Rh (0.000, 0.000, 0.000)
Ta (0.500, 0.500, 0.500)
Sb (0.500, 0.000, 0.000)
Sb (0.000, 0.500, 0.000)
Te (0.000, 0.000, 0.500)

=====

Record 3
Entry from Alexandria: an optimized crystal structure of TaSbTe2Rh (PBE-GGA).

Space-group type: P4/mmm
E above lowest polymorph: 0 meV per atom
Total moment: 0.020 μB per cell
V: 149.9 Å³/cell
E_form (uncorrected): 4.451 eV/f.u.
Raw total energy: -5.0318 eV per atom

Lattice parameters (Å, degrees): 5.298 5.298 5.341 90.00 90.00 90.00
Sites, in units of the cell vectors:
Te (0.000, 0.500, 0.000)
Te (0.500, 0.000, 0.000)
Sb (0.000, 0.000, 0.500)
Rh (0.500, 0.500, 0.500)
Ta (0.000, 0.000, 0.000)